The following is a DFT calculation (GGA-PBEsol) of a relaxed structure of YAl3Ir.

Geometry as CIF:
```
data_YAl3Ir
_chemical_formula_sum 'Y1 Al3 Ir1'
_cell_length_a 5.0346
_cell_length_b 5.0346
_cell_length_c 5.0346
_cell_angle_alpha 90.00
_cell_angle_beta 90.00
_cell_angle_gamma 90.00
_symmetry_space_group_name_H-M 'P 1'
_symmetry_Int_Tables_number 1
_symmetry_space_group_name_Hall 'P 1'
loop_
_atom_site_label
_atom_site_type_symbol
_atom_site_fract_x
_atom_site_fract_y
_atom_site_fract_z
_atom_site_occupancy
Y1 Y 0.0000 0.0000 0.0000 1
Al1 Al 0.0000 0.0000 0.5000 1
Al2 Al 0.0000 0.5000 0.0000 1
Al3 Al 0.5000 0.0000 0.0000 1
Ir1 Ir 0.5000 0.5000 0.5000 1
```

Calculated values
For the formation energy, the calculation gives 2.040 eV/atom. For the uncorrected energy, the calculation gives -3.7443 eV per atom. Its total moment is 0.01 Bohr magnetons per cell. The crystal system is cubic. Its space group is Pm-3m, No. 221.

The following is a DFT calculation (GGA-PBEsol) of a relaxed structure of AlZn2Ir.

Geometry as CIF:
```
data_AlZn2Ir
_chemical_formula_sum 'Al1 Zn2 Ir1'
_cell_length_a 4.7955
_cell_length_b 4.7955
_cell_length_c 4.7955
_cell_angle_alpha 135.01
_cell_angle_beta 135.01
_cell_angle_gamma 65.52
_symmetry_space_group_name_H-M 'P 1'
_symmetry_Int_Tables_number 1
_symmetry_space_group_name_Hall 'P 1'
loop_
_atom_site_label
_atom_site_type_symbol
_atom_site_fract_x
_atom_site_fract_y
_atom_site_fract_z
_atom_site_occupancy
Al1 Al 0.0000 0.0000 0.0000 1
Zn1 Zn 0.2500 0.7500 0.5000 1
Zn2 Zn 0.7500 0.2500 0.5000 1
Ir1 Ir 0.5000 0.5000 0.0000 1
```

Calculated values
For the formation energy, the calculation gives -0.413 eV/atom. For the uncorrected energy, the calculation gives -4.6827 eV per atom. Its total moment is 0.00 Bohr magnetons per cell. The crystal system is tetragonal. Its space group is I4/mmm, No. 139.

The following is a DFT calculation (GGA-PBEsol) of a relaxed structure of AlZnIr2.

Geometry as CIF:
```
data_AlZnIr2
_chemical_formula_sum 'Al1 Zn1 Ir2'
_cell_length_a 4.4210
_cell_length_b 4.4210
_cell_length_c 4.8242
_cell_angle_alpha 101.23
_cell_angle_beta 101.23
_cell_angle_gamma 36.87
_symmetry_space_group_name_H-M 'P 1'
_symmetry_Int_Tables_number 1
_symmetry_space_group_name_Hall 'P 1'
loop_
_atom_site_label
_atom_site_type_symbol
_atom_site_fract_x
_atom_site_fract_y
_atom_site_fract_z
_atom_site_occupancy
Al1 Al 0.0000 0.0000 0.0000 1
Zn1 Zn 0.5000 0.5000 0.5000 1
Ir1 Ir 0.2564 0.2564 0.7505 1
Ir2 Ir 0.7436 0.7436 0.2495 1
```

Calculated values
For the formation energy, the calculation gives -0.383 eV/atom. For the uncorrected energy, the calculation gives -6.7130 eV per atom. Its total moment is 0.00 Bohr magnetons per cell. The crystal system is monoclinic. Its space group is C2/m, No. 12.

The following is a DFT calculation (GGA-PBEsol) of a relaxed structure of AlZnIr2.

Geometry as CIF:
```
data_AlZnIr2
_chemical_formula_sum 'Al1 Zn1 Ir2'
_cell_length_a 4.2300
_cell_length_b 4.2300
_cell_length_c 4.2300
_cell_angle_alpha 60.00
_cell_angle_beta 60.00
_cell_angle_gamma 60.00
_symmetry_space_group_name_H-M 'P 1'
_symmetry_Int_Tables_number 1
_symmetry_space_group_name_Hall 'P 1'
loop_
_atom_site_label
_atom_site_type_symbol
_atom_site_fract_x
_atom_site_fract_y
_atom_site_fract_z
_atom_site_occupancy
Al1 Al 0.0000 0.0000 0.0000 1
Zn1 Zn 0.5000 0.5000 0.5000 1
Ir1 Ir 0.2500 0.2500 0.2500 1
Ir2 Ir 0.7500 0.7500 0.7500 1
```

Calculated values
For the formation energy, the calculation gives -0.584 eV/atom. For the uncorrected energy, the calculation gives -6.9139 eV per atom. Its total moment is 0.00 Bohr magnetons per cell. The crystal system is cubic. Its space group is Fm-3m, No. 225.

The following is a DFT calculation (GGA-PBEsol) of a relaxed structure of AlZn2Ir.

Geometry as CIF:
```
data_AlZn2Ir
_chemical_formula_sum 'Al1 Zn2 Ir1'
_cell_length_a 4.6825
_cell_length_b 4.6825
_cell_length_c 4.6825
_cell_angle_alpha 132.65
_cell_angle_beta 132.65
_cell_angle_gamma 69.20
_symmetry_space_group_name_H-M 'P 1'
_symmetry_Int_Tables_number 1
_symmetry_space_group_name_Hall 'P 1'
loop_
_atom_site_label
_atom_site_type_symbol
_atom_site_fract_x
_atom_site_fract_y
_atom_site_fract_z
_atom_site_occupancy
Al1 Al 0.0000 0.0000 0.0000 1
Zn1 Zn 0.5000 0.5000 0.0000 1
Zn2 Zn 0.7500 0.2500 0.5000 1
Ir1 Ir 0.2500 0.7500 0.5000 1
```

Calculated values
For the formation energy, the calculation gives -0.389 eV/atom. For the uncorrected energy, the calculation gives -4.6582 eV per atom. Its total moment is 0.00 Bohr magnetons per cell. The crystal system is tetragonal. Its space group is I-4m2, No. 119.

The following is a DFT calculation (GGA-PBEsol) of a relaxed structure of AlZnIr2.

Geometry as CIF:
```
data_AlZnIr2
_chemical_formula_sum 'Al1 Zn1 Ir2'
_cell_length_a 2.7447
_cell_length_b 2.7447
_cell_length_c 7.5826
_cell_angle_alpha 90.00
_cell_angle_beta 90.00
_cell_angle_gamma 90.00
_symmetry_space_group_name_H-M 'P 1'
_symmetry_Int_Tables_number 1
_symmetry_space_group_name_Hall 'P 1'
loop_
_atom_site_label
_atom_site_type_symbol
_atom_site_fract_x
_atom_site_fract_y
_atom_site_fract_z
_atom_site_occupancy
Al1 Al 0.0000 0.0000 0.0000 1
Zn1 Zn 0.5000 0.5000 0.7197 1
Ir1 Ir 0.0000 0.0000 0.4782 1
Ir2 Ir 0.5000 0.5000 0.2270 1
```

Calculated values
For the formation energy, the calculation gives -0.138 eV/atom. For the uncorrected energy, the calculation gives -6.4684 eV per atom. Its total moment is 0.00 Bohr magnetons per cell. The crystal system is tetragonal. Its space group is P4mm, No. 99.

The following is a DFT calculation (GGA-PBEsol) of a relaxed structure of ZrAl2Ir2.

Geometry as CIF:
```
data_ZrAl2Ir2
_chemical_formula_sum 'Zr1 Al2 Ir2'
_cell_length_a 6.6316
_cell_length_b 6.6316
_cell_length_c 6.6316
_cell_angle_alpha 147.83
_cell_angle_beta 147.83
_cell_angle_gamma 46.14
_symmetry_space_group_name_H-M 'P 1'
_symmetry_Int_Tables_number 1
_symmetry_space_group_name_Hall 'P 1'
loop_
_atom_site_label
_atom_site_type_symbol
_atom_site_fract_x
_atom_site_fract_y
_atom_site_fract_z
_atom_site_occupancy
Zr1 Zr 0.0000 0.0000 0.0000 1
Al1 Al 0.2500 0.7500 0.5000 1
Al2 Al 0.7500 0.2500 0.5000 1
Ir1 Ir 0.3928 0.3928 0.0000 1
Ir2 Ir 0.6072 0.6072 0.0000 1
```

Calculated values
For the formation energy, the calculation gives -0.705 eV/atom. For the uncorrected energy, the calculation gives -8.0888 eV per atom. Its total moment is 0.00 Bohr magnetons per cell. The crystal system is tetragonal. Its space group is I4/mmm, No. 139.

The following is a DFT calculation (GGA-PBEsol) of a relaxed structure of ZrAl2Ir.

Geometry as CIF:
```
data_ZrAl2Ir
_chemical_formula_sum 'Zr1 Al2 Ir1'
_cell_length_a 4.5051
_cell_length_b 4.5051
_cell_length_c 4.5051
_cell_angle_alpha 60.00
_cell_angle_beta 60.00
_cell_angle_gamma 60.00
_symmetry_space_group_name_H-M 'P 1'
_symmetry_Int_Tables_number 1
_symmetry_space_group_name_Hall 'P 1'
loop_
_atom_site_label
_atom_site_type_symbol
_atom_site_fract_x
_atom_site_fract_y
_atom_site_fract_z
_atom_site_occupancy
Zr1 Zr 0.0000 0.0000 0.0000 1
Al1 Al 0.5000 0.5000 0.5000 1
Al2 Al 0.7500 0.7500 0.7500 1
Ir1 Ir 0.2500 0.2500 0.2500 1
```

Calculated values
For the formation energy, the calculation gives -0.575 eV/atom. For the uncorrected energy, the calculation gives -7.3495 eV per atom. Its total moment is 0.00 Bohr magnetons per cell. The crystal system is cubic. Its space group is F-43m, No. 216.

The following is a DFT calculation (GGA-PBEsol) of a relaxed structure of ZrAl2Ir.

Geometry as CIF:
```
data_ZrAl2Ir
_chemical_formula_sum 'Zr1 Al2 Ir1'
_cell_length_a 3.0135
_cell_length_b 4.3217
_cell_length_c 5.1698
_cell_angle_alpha 90.00
_cell_angle_beta 98.45
_cell_angle_gamma 90.00
_symmetry_space_group_name_H-M 'P 1'
_symmetry_Int_Tables_number 1
_symmetry_space_group_name_Hall 'P 1'
loop_
_atom_site_label
_atom_site_type_symbol
_atom_site_fract_x
_atom_site_fract_y
_atom_site_fract_z
_atom_site_occupancy
Zr1 Zr 0.0000 0.0000 0.0000 1
Al1 Al 0.3863 0.5000 0.7384 1
Al2 Al 0.6137 0.5000 0.2616 1
Ir1 Ir 0.5000 0.0000 0.5000 1
```

Calculated values
For the formation energy, the calculation gives -0.557 eV/atom. For the uncorrected energy, the calculation gives -7.3314 eV per atom. Its total moment is 0.00 Bohr magnetons per cell. The crystal system is monoclinic. Its space group is P2/m, No. 10.

The following is a DFT calculation (GGA-PBEsol) of a relaxed structure of Zr2AlIr.

Geometry as CIF:
```
data_Zr2AlIr
_chemical_formula_sum 'Zr2 Al1 Ir1'
_cell_length_a 4.2032
_cell_length_b 5.4407
_cell_length_c 5.4407
_cell_angle_alpha 36.62
_cell_angle_beta 90.00
_cell_angle_gamma 90.00
_symmetry_space_group_name_H-M 'P 1'
_symmetry_Int_Tables_number 1
_symmetry_space_group_name_Hall 'P 1'
loop_
_atom_site_label
_atom_site_type_symbol
_atom_site_fract_x
_atom_site_fract_y
_atom_site_fract_z
_atom_site_occupancy
Zr1 Zr 0.0000 0.0000 0.0000 1
Zr2 Zr 0.5000 0.2953 0.2953 1
Al1 Al 0.5000 0.5748 0.5748 1
Ir1 Ir 0.0000 0.7327 0.7327 1
```

Calculated values
For the formation energy, the calculation gives -0.637 eV/atom. For the uncorrected energy, the calculation gives -8.6602 eV per atom. Its total moment is 0.00 Bohr magnetons per cell. The crystal system is orthorhombic. Its space group is Amm2, No. 38.

The following is a DFT calculation (GGA-PBEsol) of a relaxed structure of ZrAl2Ir.

Geometry as CIF:
```
data_ZrAl2Ir
_chemical_formula_sum 'Zr1 Al2 Ir1'
_cell_length_a 3.0725
_cell_length_b 3.0725
_cell_length_c 6.8059
_cell_angle_alpha 90.00
_cell_angle_beta 90.00
_cell_angle_gamma 90.00
_symmetry_space_group_name_H-M 'P 1'
_symmetry_Int_Tables_number 1
_symmetry_space_group_name_Hall 'P 1'
loop_
_atom_site_label
_atom_site_type_symbol
_atom_site_fract_x
_atom_site_fract_y
_atom_site_fract_z
_atom_site_occupancy
Zr1 Zr 0.0000 0.0000 0.0000 1
Al1 Al 0.0000 0.0000 0.5240 1
Al2 Al 0.5000 0.5000 0.2817 1
Ir1 Ir 0.5000 0.5000 0.7127 1
```

Calculated values
For the formation energy, the calculation gives -0.610 eV/atom. For the uncorrected energy, the calculation gives -7.3841 eV per atom. Its total moment is 0.00 Bohr magnetons per cell. The crystal system is tetragonal. Its space group is P4mm, No. 99.

The following is a DFT calculation (GGA-PBEsol) of a relaxed structure of ZrAl2Ir.

Geometry as CIF:
```
data_ZrAl2Ir
_chemical_formula_sum 'Zr1 Al2 Ir1'
_cell_length_a 4.4585
_cell_length_b 4.4585
_cell_length_c 4.4585
_cell_angle_alpha 60.00
_cell_angle_beta 60.00
_cell_angle_gamma 60.00
_symmetry_space_group_name_H-M 'P 1'
_symmetry_Int_Tables_number 1
_symmetry_space_group_name_Hall 'P 1'
loop_
_atom_site_label
_atom_site_type_symbol
_atom_site_fract_x
_atom_site_fract_y
_atom_site_fract_z
_atom_site_occupancy
Zr1 Zr 0.0000 0.0000 0.0000 1
Al1 Al 0.2500 0.2500 0.2500 1
Al2 Al 0.7500 0.7500 0.7500 1
Ir1 Ir 0.5000 0.5000 0.5000 1
```

Calculated values
For the formation energy, the calculation gives -0.480 eV/atom. For the uncorrected energy, the calculation gives -7.2541 eV per atom. Its total moment is 1.17 Bohr magnetons per cell. The crystal system is cubic. Its space group is Fm-3m, No. 225.

The following is a DFT calculation (GGA-PBEsol) of a relaxed structure of Zr6Al16Ir7.

Geometry as CIF:
```
data_Zr6Al16Ir7
_chemical_formula_sum 'Zr6 Al16 Ir7'
_cell_length_a 8.7496
_cell_length_b 8.7496
_cell_length_c 8.7496
_cell_angle_alpha 60.00
_cell_angle_beta 60.00
_cell_angle_gamma 60.00
_symmetry_space_group_name_H-M 'P 1'
_symmetry_Int_Tables_number 1
_symmetry_space_group_name_Hall 'P 1'
loop_
_atom_site_label
_atom_site_type_symbol
_atom_site_fract_x
_atom_site_fract_y
_atom_site_fract_z
_atom_site_occupancy
Zr1 Zr 0.1907 0.1907 0.8093 1
Zr2 Zr 0.1907 0.8093 0.1907 1
Zr3 Zr 0.1907 0.8093 0.8093 1
Zr4 Zr 0.8093 0.1907 0.1907 1
Zr5 Zr 0.8093 0.1907 0.8093 1
Zr6 Zr 0.8093 0.8093 0.1907 1
Al1 Al 0.1400 0.6200 0.6200 1
Al2 Al 0.1617 0.1617 0.1617 1
Al3 Al 0.1617 0.1617 0.5150 1
Al4 Al 0.1617 0.5150 0.1617 1
Al5 Al 0.3800 0.3800 0.3800 1
Al6 Al 0.3800 0.3800 0.8600 1
Al7 Al 0.3800 0.8600 0.3800 1
Al8 Al 0.4850 0.8383 0.8383 1
Al9 Al 0.5150 0.1617 0.1617 1
Al10 Al 0.6200 0.1400 0.6200 1
Al11 Al 0.6200 0.6200 0.1400 1
Al12 Al 0.6200 0.6200 0.6200 1
Al13 Al 0.8383 0.4850 0.8383 1
Al14 Al 0.8383 0.8383 0.4850 1
Al15 Al 0.8383 0.8383 0.8383 1
Al16 Al 0.8600 0.3800 0.3800 1
Ir1 Ir 0.0000 0.0000 0.5000 1
Ir2 Ir 0.0000 0.5000 0.0000 1
Ir3 Ir 0.0000 0.5000 0.5000 1
Ir4 Ir 0.5000 0.0000 0.0000 1
Ir5 Ir 0.5000 0.0000 0.5000 1
Ir6 Ir 0.5000 0.5000 0.0000 1
Ir7 Ir 0.5000 0.5000 0.5000 1
```

Calculated values
For the formation energy, the calculation gives -0.861 eV/atom. For the uncorrected energy, the calculation gives -7.3698 eV per atom. Its total moment is 0.00 Bohr magnetons per cell. The crystal system is cubic. Its space group is Fm-3m, No. 225.

The following is a DFT calculation (GGA-PBEsol) of a relaxed structure of K3Al.

Geometry as CIF:
```
data_K3Al
_chemical_formula_sum 'K3 Al1'
_cell_length_a 7.3268
_cell_length_b 7.3268
_cell_length_c 7.3268
_cell_angle_alpha 142.09
_cell_angle_beta 64.66
_cell_angle_gamma 129.73
_symmetry_space_group_name_H-M 'P 1'
_symmetry_Int_Tables_number 1
_symmetry_space_group_name_Hall 'P 1'
loop_
_atom_site_label
_atom_site_type_symbol
_atom_site_fract_x
_atom_site_fract_y
_atom_site_fract_z
_atom_site_occupancy
K1 K 0.0000 0.0000 0.0000 1
K2 K 0.2836 0.5014 0.7822 1
K3 K 0.7191 0.5014 0.2178 1
Al1 Al 0.4975 0.9975 0.5000 1
```

Calculated values
For the formation energy, the calculation gives 0.321 eV/atom. For the uncorrected energy, the calculation gives -1.5514 eV per atom. Its total moment is 0.36 Bohr magnetons per cell. The crystal system is orthorhombic. Its space group is Imm2, No. 44. The excess energy over the best structure of this formula in the dataset is 6 meV per atom.